No. 1
A relaxed Pr2P2Ir crystal. Source: Alexandria, functional GGA-PBE.

The total DFT energy (no corrections) comes out at -6.9996 eV per atom.

a b c (Å): 4.110 5.882 10.088
angles (deg): 77.43 78.25 69.55
Positions (direct):
Pr: 0.700 0.241 0.359
Pr: 0.909 0.286 0.897
Pr: 0.300 0.759 0.641
Pr: 0.091 0.714 0.103
P: 0.045 0.325 0.585
P: 0.655 0.830 0.860
P: 0.955 0.675 0.415
P: 0.345 0.170 0.140
Ir: 0.564 0.190 0.681
Ir: 0.436 0.810 0.319


No. 2
A relaxed Nd2Tm2Zn3 crystal. Source: Alexandria, functional GGA-PBE.

The total DFT energy (no corrections) comes out at -3.3851 eV per atom.

a b c (Å): 5.006 4.999 8.806
angles (deg): 90.06 106.45 120.09
Positions (direct):
Nd: 0.252 0.126 0.377
Nd: 0.748 0.874 0.623
Tm: 0.750 0.375 0.124
Tm: 0.250 0.625 0.876
Zn: 0.000 0.000 0.000
Zn: 0.511 0.256 0.766
Zn: 0.489 0.744 0.234


No. 3
A relaxed Sm4IrPtCl2 crystal. Source: Alexandria, functional GGA-PBE.

The value obtained for the uncorrected formation energy is -10.27 eV/f.u.

a b c (Å): 4.115 7.820 7.170
angles (deg): 71.66 90.00 90.00
Positions (direct):
Sm: 0.000 0.704 0.756
Sm: 0.000 0.296 0.244
Sm: 0.500 0.703 0.268
Sm: 0.500 0.297 0.732
Ir: 0.000 0.500 0.500
Pt: 0.500 0.500 0.000
Cl: 0.000 0.000 0.000
Cl: 0.500 0.000 0.500


No. 4
A relaxed DyYCu10 crystal. Source: Alexandria, functional GGA-PBE.

The total DFT energy (no corrections) comes out at -4.5277 eV per atom.

a b c (Å): 4.098 5.058 8.679
angles (deg): 90.00 90.00 90.00
Positions (direct):
Dy: 0.000 0.000 0.000
Y: 0.000 0.500 0.500
Cu: 0.000 0.000 0.333
Cu: 0.000 0.500 0.834
Cu: 0.000 0.500 0.166
Cu: 0.000 0.000 0.667
Cu: 0.500 0.000 0.500
Cu: 0.500 0.500 0.000
Cu: 0.500 0.250 0.250
Cu: 0.500 0.750 0.750
Cu: 0.500 0.750 0.250
Cu: 0.500 0.250 0.750


No. 5
A relaxed MnCr2Cl crystal. Source: Alexandria, functional GGA-PBE.

The excess energy over the best structure of this formula in the dataset comes out at 0 meV per atom. The value obtained for the uncorrected formation energy is 0.38 eV/f.u.

a b c (Å): 7.126 7.126 2.983
angles (deg): 102.00 102.00 24.13
Positions (direct):
Cr: 0.064 0.064 0.189
Cr: 0.664 0.664 0.788
Mn: 0.458 0.458 0.584
Cl: 0.314 0.314 0.939


No. 6
A relaxed FeMo2Br crystal. Source: Alexandria, functional GGA-PBE.

The excess energy over the best structure of this formula in the dataset comes out at 585 meV per atom. The value obtained for the uncorrected formation energy is 4.12 eV/f.u.

a b c (Å): 4.616 3.737 3.737
angles (deg): 90.00 90.00 90.00
Positions (direct):
Br: 0.500 0.500 0.000
Fe: 0.500 0.000 0.500
Mo: 0.000 0.000 0.000
Mo: 0.000 0.500 0.500


No. 7
A relaxed AlFe2Hg crystal. Source: Alexandria, functional GGA-PBE.

The total DFT energy (no corrections) comes out at -5.1410 eV per atom.

a b c (Å): 3.026 3.026 6.552
angles (deg): 90.00 90.00 90.00
Positions (direct):
Al: 0.500 0.500 0.803
Hg: 0.000 0.000 0.485
Fe: 0.000 0.000 0.012
Fe: 0.500 0.500 0.200


No. 8
A relaxed SrNiHg2 crystal. Source: Alexandria, functional GGA-PBE.

The total DFT energy (no corrections) comes out at -2.1157 eV per atom.

a b c (Å): 4.070 4.364 6.090
angles (deg): 68.96 90.00 90.00
Positions (direct):
Hg: 0.000 0.054 0.018
Hg: 0.500 0.436 0.253
Ni: 0.000 0.289 0.547
Sr: 0.500 0.721 0.682


no.,DOS(E_F) (states/eV/atom)
1,0.56
2,1.31
3,0.58
4,0.64
5,0.38
6,1.07
7,0.79
8,0.47